[1]
Compound: LaTiMnTe2
Source: Alexandria via LeMat-Bulk
Functional: PBE
Structure: optimized geometry

Cell lengths 5.323, 5.323, 5.356 Å; angles 90.00, 90.00, 90.00 degrees
Space group P4/mmm (No. 123)
Symmetry-distinct sites (fractional):
La  0.000  0.000  0.000 (multiplicity 1)
Ti  0.000  0.000  0.500 (multiplicity 1)
Mn  0.500  0.500  0.000 (multiplicity 1)
Te  0.000  0.500  0.500 (multiplicity 2)

- Energy relative to the elements, uncorrected: 0.1959 eV per atom
- Total energy: -5.459 eV/atom

[2]
Compound: La2MnTl3Te6
Source: Alexandria via LeMat-Bulk
Functional: PBE
Structure: optimized geometry

Cell lengths 7.863, 13.454, 8.477 Å; angles 90.00, 108.94, 90.00 degrees
Space group C2/m (No. 12)
Symmetry-distinct sites (fractional):
La  0.000  0.163  0.000 (multiplicity 4)
Mn  0.000  0.500  0.000 (multiplicity 2)
Tl  0.000  0.000  0.500 (multiplicity 2)
Tl  0.000  0.322  0.500 (multiplicity 4)
Te  0.216  0.351  0.204 (multiplicity 8)
Te  0.237  0.500  0.767 (multiplicity 4)

- Energy relative to the elements, uncorrected: -0.7834 eV per atom
- Total energy: -4.531 eV/atom

[3]
Compound: La3MnTl4Te8
Source: Alexandria via LeMat-Bulk
Functional: PBE
Structure: optimized geometry

Cell lengths 9.1273, 9.1273, 24.0665 Å; angles 90.00, 90.00, 120.00 degrees
Space group R-3m (No. 166, hexagonal axes)
Symmetry-distinct sites (fractional):
La  0.0000  0.5000  0.0000 (multiplicity 9)
Mn  0.0000  0.0000  0.0000 (multiplicity 3)
Tl  0.0000  0.0000  0.5000 (multiplicity 3)
Tl  0.0000  0.5000  0.5000 (multiplicity 9)
Te  0.0000  0.0000  0.2575 (multiplicity 6)
Te  0.0259  0.5130  0.7373 (multiplicity 18)

- Energy relative to the elements, uncorrected: -0.8667 eV per atom
- Total energy: -4.526 eV/atom

[4]
Compound: La2MnVTe
Source: Alexandria via LeMat-Bulk
Functional: PBE
Structure: optimized geometry

Cell lengths 6.017, 6.017, 4.889 Å; angles 90.00, 90.00, 90.00 degrees
Space group P4/mmm (No. 123)
Symmetry-distinct sites (fractional):
La  0.000  0.500  0.000 (multiplicity 2)
Mn  0.000  0.000  0.500 (multiplicity 1)
V  0.500  0.500  0.500 (multiplicity 1)
Te  0.500  0.500  0.000 (multiplicity 1)

- Energy relative to the elements, uncorrected: 0.5213 eV per atom
- Total energy: -5.736 eV/atom

[5]
Compound: LaThMnZn
Source: Alexandria via LeMat-Bulk
Functional: PBE
Structure: optimized geometry

Cell lengths 7.355, 7.355, 7.355 Å; angles 90.00, 90.00, 90.00 degrees
Space group F-43m (No. 216)
Symmetry-distinct sites (fractional):
La  0.000  0.000  0.000 (multiplicity 4)
Th  0.000  0.000  0.500 (multiplicity 4)
Mn  0.250  0.250  0.750 (multiplicity 4)
Zn  0.250  0.250  0.250 (multiplicity 4)

- Calculated formation energy: 73 meV per atom
- Total energy: -5.625 eV/atom

[6]
Compound: La2TiMn2
Source: Alexandria via LeMat-Bulk
Functional: PBE
Structure: optimized geometry

Cell lengths 7.015, 7.015, 4.730 Å; angles 90.00, 90.00, 90.00 degrees
Space group P4/mbm (No. 127)
Symmetry-distinct sites (fractional):
La  0.173  0.327  0.000 (multiplicity 4)
Ti  0.000  0.000  0.500 (multiplicity 2)
Mn  0.138  0.638  0.500 (multiplicity 4)

- Distance to the lowest polymorph of the same formula: 0 meV per atom
- Calculated formation energy: 309 meV per atom
- Total energy: -6.909 eV/atom